An optimized crystal structure of SrSc2Zn2, computed with PBE-GGA.

abc: 4.576 4.576 12.261
angles: 90.00 90.00 90.00
Fractional positions:
Sr  0.000  0.000  0.000
Sr  0.500  0.500  0.500
Sc  0.000  0.500  0.250
Sc  0.000  0.500  0.750
Sc  0.500  0.000  0.250
Sc  0.500  0.000  0.750
Zn  0.000  0.000  0.395
Zn  0.000  0.000  0.605
Zn  0.500  0.500  0.105
Zn  0.500  0.500  0.895

## Properties
The offset from the most stable computed form is 36.3 meV per atom. Its formation energy is -0.071 eV/atom. Its spin magnetization is 0.04 μB/cell.



An optimized crystal structure of MgGaB, computed with PBE-GGA.

abc: 3.067 3.345 9.178
angles: 79.75 88.19 89.97
Fractional positions:
Mg  0.240  0.418  0.168
Mg  0.760  0.582  0.832
Ga  0.262  0.198  0.603
Ga  0.738  0.802  0.397
B  0.252  0.012  0.975
B  0.748  0.988  0.025

## Properties
Its formation energy is 0.064 eV/atom. Its spin magnetization is 0.00 μB/cell.



An optimized crystal structure of CrAg2Os, computed with PBE-GGA.

abc: 9.070 2.810 5.083
angles: 90.00 100.20 90.00
Fractional positions:
Cr  0.000  0.000  0.000
Cr  0.500  0.500  0.000
Ag  0.244  0.000  0.696
Ag  0.488  0.000  0.469
Ag  0.744  0.500  0.696
Ag  0.988  0.500  0.469
Os  0.231  0.500  0.171
Os  0.731  0.000  0.171

## Properties
The offset from the most stable computed form is 265.1 meV per atom. Its formation energy is 0.579 eV/atom. Its spin magnetization is 4.94 μB/cell.



An optimized crystal structure of CsK2NpI8, computed with PBE-GGA.

abc: 6.985 8.197 11.242
angles: 89.92 89.44 88.71
Fractional positions:
Cs  0.000  0.000  0.000
K  0.495  0.501  0.274
K  0.505  0.499  0.726
Np  0.000  0.000  0.500
I  0.224  0.683  0.504
I  0.242  0.136  0.694
I  0.245  0.509  0.000
I  0.248  0.129  0.302
I  0.752  0.871  0.698
I  0.755  0.491  0.000
I  0.758  0.864  0.306
I  0.776  0.317  0.496

## Properties
The formation energy (no corrections) comes out at -1047 meV per atom. Its spin magnetization is 2.92 μB/cell.



An optimized crystal structure of Sm3P2O, computed with PBE-GGA.

abc: 6.796 6.796 7.833
angles: 106.70 106.70 49.67
Fractional positions:
Sm  0.043  0.957  0.750
Sm  0.344  0.346  0.422
Sm  0.346  0.344  0.922
Sm  0.654  0.656  0.078
Sm  0.656  0.654  0.578
Sm  0.957  0.043  0.250
P  0.171  0.172  0.086
P  0.172  0.171  0.586
P  0.828  0.829  0.414
P  0.829  0.828  0.914
O  0.454  0.546  0.750
O  0.546  0.454  0.250

## Properties
The formation energy (no corrections) comes out at -1913 meV per atom. Its spin magnetization is 0.00 μB/cell.



An optimized crystal structure of Pr2Sm4Tm7, computed with PBE-GGA.

abc: 6.172 7.978 9.418
angles: 65.08 89.98 82.41
Fractional positions:
Pr  0.230  0.117  0.424
Pr  0.770  0.883  0.576
Sm  0.307  0.650  0.733
Sm  0.386  0.192  0.038
Sm  0.614  0.808  0.962
Sm  0.693  0.350  0.267
Tm  0.000  0.500  0.500
Tm  0.077  0.041  0.809
Tm  0.153  0.580  0.116
Tm  0.460  0.729  0.345
Tm  0.540  0.271  0.655
Tm  0.847  0.420  0.884
Tm  0.923  0.959  0.191

## Properties
Its formation energy is 0.023 eV/atom. Its spin magnetization is 0.00 μB/cell.



An optimized crystal structure of BeCr2Cd, computed with PBE-GGA.

abc: 2.629 3.857 5.292
angles: 90.00 98.49 90.00
Fractional positions:
Be  0.000  0.000  0.000
Cr  0.351  0.500  0.809
Cr  0.538  0.000  0.606
Cd  0.936  0.500  0.295

## Properties
The offset from the most stable computed form is 143.0 meV per atom. Its formation energy is 0.390 eV/atom. Its spin magnetization is 0.00 μB/cell.



An optimized crystal structure of BaZnSe2, computed with PBE-GGA.

abc: 4.091 6.668 8.330
angles: 90.00 90.00 90.00
Fractional positions:
Ba  0.000  0.000  0.000
Ba  0.500  0.500  0.500
Zn  0.000  0.000  0.500
Zn  0.500  0.500  0.000
Se  0.000  0.500  0.197
Se  0.000  0.500  0.803
Se  0.500  0.000  0.303
Se  0.500  0.000  0.697

## Properties
The formation energy (no corrections) comes out at -997 meV per atom. Its spin magnetization is 0.00 μB/cell.